4
Lattice="-2.058 2.058 4.119 2.058 -2.058 4.119 2.058 2.058 -4.119" Properties=species:S:1:pos:R:3 comment="Ag2PAu (PBE, optimized geometry)" magmom_total_mub_per_fu=0.0 vol_a3_per_atom=17.44 dft_energy_ev_per_atom=-3.36 formation_energy_mev_per_atom=233 pbc="T T T"
Ag 0.000 0.000 0.000
Ag 0.000 2.058 2.059
P 0.000 0.000 4.119
Au 2.058 0.000 2.059

5
Lattice="-1.682 1.682 7.861 1.682 -1.682 7.861 1.682 1.682 -7.861" Properties=species:S:1:pos:R:3 comment="AgP2Au2 (PBE, optimized geometry)" magmom_total_mub_per_fu=0.0 vol_a3_per_atom=17.78 dft_energy_ev_per_atom=-3.76 relative_energy_mev_per_atom=0 formation_energy_mev_per_atom=283 pbc="T T T"
Ag 0.000 0.000 0.000
P 1.682 0.000 3.931
P 0.000 1.682 3.931
Au 0.000 0.000 6.282
Au 0.000 0.000 9.440

4
Lattice="-1.576 1.977 5.835 1.576 -1.977 5.835 1.576 1.977 -5.835" Properties=species:S:1:pos:R:3 comment="AgP2Au (PBE, optimized geometry)" magmom_total_mub_per_fu=0.0 vol_a3_per_atom=18.19 dft_energy_ev_per_atom=-3.95 relative_energy_mev_per_atom=178 formation_energy_mev_per_atom=287 pbc="T T T"
Ag 0.000 0.000 0.000
P 0.000 0.000 6.943
P 0.000 1.977 2.731
Au 1.576 0.000 3.719

6
Lattice="3.259 0.000 0.000 1.582 4.673 0.000 0.023 0.001 7.859" Properties=species:S:1:pos:R:3 comment="AgP4Au (PBE, optimized geometry)" magmom_total_mub_per_fu=0.0 vol_a3_per_atom=19.94 dft_energy_ev_per_atom=-4.63 relative_energy_mev_per_atom=0 formation_energy_mev_per_atom=-2 pbc="T T T"
Ag 0.000 0.000 0.000
P 1.620 3.069 5.806
P 1.615 3.068 2.053
P 3.248 1.606 5.806
P 3.244 1.605 2.053
Au 0.012 0.001 3.929

8
Lattice="-2.407 2.407 7.716 2.407 -2.407 7.716 2.407 2.407 -7.716" Properties=species:S:1:pos:R:3 comment="AgPAu2 (PBE, optimized geometry)" magmom_total_mub_per_fu=0.0 vol_a3_per_atom=22.36 dft_energy_ev_per_atom=-3.47 formation_energy_mev_per_atom=231 pbc="T T T"
Ag 0.000 0.000 0.000
Ag 0.000 2.407 3.858
P 2.407 0.000 3.858
P 0.000 0.000 7.716
Au 1.204 -0.761 5.787
Au 1.646 1.204 1.929
Au 1.204 3.169 -1.929
Au 0.761 1.204 9.645

4
Lattice="2.914 -4.157 0.000 2.914 4.157 0.000 0.000 0.000 2.891" Properties=species:S:1:pos:R:3 comment="AgPAu2 (PBE, optimized geometry)" magmom_total_mub_per_fu=0.0 vol_a3_per_atom=17.51 dft_energy_ev_per_atom=-3.44 formation_energy_mev_per_atom=263 pbc="T T T"
Ag 0.000 0.000 0.000
P 2.914 0.000 0.000
Au 1.457 2.078 1.446
Au 1.457 -2.078 1.446

4
Lattice="-2.013 2.013 4.301 2.013 -2.013 4.301 2.013 2.013 -4.301" Properties=species:S:1:pos:R:3 comment="Ag2PAu (PBE, optimized geometry)" magmom_total_mub_per_fu=0.0 vol_a3_per_atom=17.42 dft_energy_ev_per_atom=-3.37 formation_energy_mev_per_atom=226 pbc="T T T"
Ag 2.013 0.000 2.150
Ag 0.000 2.013 2.150
P 0.000 0.000 0.000
Au 0.000 0.000 4.301

4
Lattice="3.228 -1.855 0.000 3.228 1.855 0.000 -2.172 0.000 6.082" Properties=species:S:1:pos:R:3 comment="AgP2Au (PBE, optimized geometry)" magmom_total_mub_per_fu=0.0 vol_a3_per_atom=18.21 dft_energy_ev_per_atom=-3.91 relative_energy_mev_per_atom=214 formation_energy_mev_per_atom=323 pbc="T T T"
Ag 0.000 0.000 0.000
P 0.007 0.000 4.393
P 4.277 0.000 1.689
Au 2.142 0.000 3.041